10
Lattice="-7.792 0.978 -3.287 2.410 -4.242 -6.977 -1.447 -4.340 2.139" Properties=species:S:1:pos:R:3 comment="Ba2GaSb2 | Alexandria via LeMat-Bulk | PBE | optimized geometry" e_form_raw_ev_per_atom=-0.697 polymorph_energy_mev_per_atom=112 space_group="No. 127" m_tot_mub_per_cell=0.00 rho_g_cm3=5.33 pbc="T T T"
Sb -5.368 -1.766 -7.216
Sb -0.843 -3.363 -7.393
Ga -2.691 -1.632 -5.132
Ba -0.484 -4.877 -4.261
Sb -0.014 -1.497 -3.047
Ga 0.000 0.000 0.000
Ba -4.041 -4.986 -6.888
Sb -4.539 0.099 -2.870
Ba -6.344 -2.727 -3.863
Ba -2.788 -2.618 -1.236